No. 1
DFT (PBE-GGA) results for an optimized crystal structure of Dy12CuAu6.

Cell and atoms, written as POSCAR:
```
Dy12CuAu6
1.0
6.387 3.688 3.968
-6.387 3.688 3.968
0.000 -7.375 3.968
Dy Cu Au
12 1 6
Direct
0.047 0.933 0.682
0.067 0.318 0.953
0.179 0.580 0.427
0.318 0.953 0.067
0.420 0.573 0.821
0.427 0.179 0.580
0.573 0.821 0.420
0.580 0.427 0.179
0.682 0.047 0.933
0.821 0.420 0.573
0.933 0.682 0.047
0.953 0.067 0.318
0.000 0.000 0.000
0.135 0.305 0.620
0.305 0.620 0.135
0.380 0.865 0.695
0.620 0.135 0.305
0.695 0.380 0.865
0.865 0.695 0.380
```

Properties
raw total energy = -4.567 eV per atom

No. 2
DFT (PBE-GGA) results for an optimized crystal structure of Y4CdPt.

Cell and atoms, written as POSCAR:
```
Y4CdPt
1.0
0.000 4.317 4.317
4.317 0.000 4.317
4.317 4.317 0.000
Y Cd Pt
4 1 1
Direct
0.376 0.376 0.376
0.376 0.376 0.873
0.376 0.873 0.376
0.873 0.376 0.376
0.000 0.000 0.000
0.750 0.750 0.750
```

Properties
excess energy over the best structure of this formula in the dataset = 944.1 meV/atom
raw total energy = -5.142 eV per atom

No. 3
DFT (PBE-GGA) results for an optimized crystal structure of ScCoPt.

Cell and atoms, written as POSCAR:
```
ScCoPt
1.0
2.955 0.000 0.000
-1.477 2.559 0.000
0.000 0.000 6.247
Sc Co Pt
1 1 1
Direct
0.000 0.000 0.000
0.667 0.333 0.308
0.333 0.667 0.648
```

Properties
raw total energy = -6.651 eV per atom

No. 4
DFT (PBE-GGA) results for an optimized crystal structure of RbIrPbW2.

Cell and atoms, written as POSCAR:
```
RbIrPbW2
1.0
5.214 0.000 0.000
0.000 5.214 0.000
0.000 0.000 5.915
Rb Ir Pb W
1 1 1 2
Direct
0.000 0.000 0.000
0.500 0.500 0.000
0.000 0.000 0.500
0.000 0.500 0.500
0.500 0.000 0.500
```

Properties
raw total energy = -4.705 eV per atom

No. 5
DFT (PBE-GGA) results for an optimized crystal structure of Ca3TaAs.

Cell and atoms, written as POSCAR:
```
Ca3TaAs
1.0
5.555 0.000 0.000
0.000 5.555 0.000
0.000 0.000 5.555
Ca Ta As
3 1 1
Direct
0.000 0.000 0.500
0.000 0.500 0.000
0.500 0.000 0.000
0.500 0.500 0.500
0.000 0.000 0.000
```

Properties
excess energy over the best structure of this formula in the dataset = 0.0 meV/atom
raw total energy = -4.095 eV per atom

No. 6
DFT (PBE-GGA) results for an optimized crystal structure of BeFeAg4.

Cell and atoms, written as POSCAR:
```
BeFeAg4
1.0
0.000 3.782 3.782
3.782 0.000 3.782
3.782 3.782 0.000
Be Fe Ag
1 1 4
Direct
0.000 0.000 0.000
0.750 0.750 0.750
0.375 0.375 0.375
0.375 0.375 0.875
0.375 0.875 0.375
0.875 0.375 0.375
```

Properties
raw total energy = -3.191 eV per atom